DFT (PBE) results for an optimized crystal structure of Tb5DyMg6.

Summary:
Calculated formation energy ... -85 meV per atom
Total moment ... 0.0 μB/f.u.
Space group ... P2/m

```
Tb5DyMg6
1.0
5.104 -0.031 1.700
0.040 7.569 0.013
0.001 -0.015 8.500
Mg Tb Dy
6 5 1
direct
0.835 0.750 0.333
0.835 0.250 0.333
0.500 0.250 0.000
0.500 0.750 0.000
0.165 0.750 0.667
0.165 0.250 0.667
0.666 0.500 0.667
0.334 0.000 0.333
0.000 0.500 0.000
0.666 0.000 0.667
0.334 0.500 0.333
0.000 0.000 0.000
```